(1)
Entry from Alexandria via LeMat-Bulk: an optimized crystal structure of CsRb3Zn (PBE).

Calculated total energy = -2.70 eV for the cell shown
Space group = Pm-3m (221)

Lattice parameters (Å, degrees): 8.9742 8.9742 8.9742 90.00 90.00 90.00
With the nearest neighbours (Å) after each atom.
Positions (direct):
Rb  0.5000  0.0000  0.0000  2 Cs 4.49
Rb  0.0000  0.0000  0.5000  2 Cs 4.49
Rb  0.0000  0.5000  0.0000  2 Cs 4.49
Zn  0.5000  0.5000  0.5000  none within 6
Cs  0.0000  0.0000  0.0000  6 Rb 4.49

=====

(2)
Entry from Alexandria via LeMat-Bulk: an optimized crystal structure of MgSiRu2 (PBE).

Formation energy from raw total energies = 0.092 eV/atom
Space group = I-42d (122)

Lattice parameters (Å, degrees): 6.9636 6.9636 5.5948 51.51 51.51 90.00
With the nearest neighbours (Å) after each atom.
Positions (direct):
Mg  0.2500  0.7500  0.5000  2 Si 2.66, 8 Ru 2.87-2.95
Mg  0.5000  0.5000  0.0000  2 Si 2.66, 8 Ru 2.87-2.95
Si  0.0000  0.0000  0.0000  4 Ru 2.27
Si  0.7500  0.2500  0.5000  4 Ru 2.27
Ru  0.3750  0.3122  0.7500  2 Si 2.27
Ru  0.8750  0.9378  0.7500  2 Si 2.27
Ru  0.6878  0.1250  0.2500  2 Si 2.27
Ru  0.0622  0.6250  0.2500  2 Si 2.27

=====

(3)
Entry from Alexandria via LeMat-Bulk: an optimized crystal structure of CdIn3Fe (PBE).

Calculated total energy = -16.46 eV for the cell shown
Space group = Pm-3m (221)

Lattice parameters (Å, degrees): 5.0351 5.0351 5.0351 90.00 90.00 90.00
With the nearest neighbours (Å) after each atom.
Positions (direct):
In  0.0000  0.0000  0.5000  2 Fe 2.52
In  0.0000  0.5000  0.0000  2 Fe 2.52
In  0.5000  0.0000  0.0000  2 Fe 2.52
Cd  0.5000  0.5000  0.5000  12 In 3.56
Fe  0.0000  0.0000  0.0000  6 In 2.52